(1)
VASP calculation (GGA-PBE) on crystalline LiAlReTc at its relaxed geometry.

uncorrected energy = -7.319 eV per atom
symmetry = F-43m

Lattice parameters (Å, degrees): 4.2769 4.2769 4.2769 60.00 60.00 60.00
Element x y z (fractional)
Li 0.0000 0.0000 0.0000
Al 0.2500 0.2500 0.2500
Re 0.5000 0.5000 0.5000
Tc 0.7500 0.7500 0.7500

(2)
VASP calculation (GGA-PBE) on crystalline LiAlReW at its relaxed geometry.

uncorrected energy = -7.855 eV per atom
symmetry = F-43m

Lattice parameters (Å, degrees): 4.3361 4.3361 4.3361 60.00 60.00 60.00
Element x y z (fractional)
Li 0.0000 0.0000 0.0000
Al 0.7500 0.7500 0.7500
Re 0.5000 0.5000 0.5000
W 0.2500 0.2500 0.2500